# NaCaAg (GGA-PBE, relaxed)
data_NaCaAg
_symmetry_space_group_name_H-M 'F -4 3 m'
_symmetry_Int_Tables_number 216
_symmetry_space_group_name_Hall 'F -4 2 3'
_cell_length_a 7.2312
_cell_length_b 7.2312
_cell_length_c 7.2312
_cell_angle_alpha 90.00
_cell_angle_beta 90.00
_cell_angle_gamma 90.00
loop_
_atom_site_label
_atom_site_fract_x
_atom_site_fract_y
_atom_site_fract_z
Na1 0.0000 0.0000 0.0000
Ca1 0.0000 0.0000 0.5000
Ag1 0.2500 0.2500 0.2500
# Calculated formation energy, meV/atom: -53
# E_tot, eV/f.u.: -6.3



# Na3CaAg (GGA-PBE, relaxed)
data_Na3CaAg
_symmetry_space_group_name_H-M 'P m -3 m'
_symmetry_Int_Tables_number 221
_symmetry_space_group_name_Hall '-P 4 2 3'
_cell_length_a 5.6692
_cell_length_b 5.6692
_cell_length_c 5.6692
_cell_angle_alpha 90.00
_cell_angle_beta 90.00
_cell_angle_gamma 90.00
loop_
_atom_site_label
_atom_site_fract_x
_atom_site_fract_y
_atom_site_fract_z
Na1 0.0000 0.0000 0.5000
Ca1 0.5000 0.5000 0.5000
Ag1 0.0000 0.0000 0.0000
# Calculated formation energy, meV/atom: 160
# E_tot, eV/f.u.: -8.0



# Na2CaAg (GGA-PBE, relaxed)
data_Na2CaAg
_symmetry_space_group_name_H-M 'P 4/m m m'
_symmetry_Int_Tables_number 123
_symmetry_space_group_name_Hall '-P 4 2'
_cell_length_a 4.5419
_cell_length_b 4.5419
_cell_length_c 5.6677
_cell_angle_alpha 90.00
_cell_angle_beta 90.00
_cell_angle_gamma 90.00
loop_
_atom_site_label
_atom_site_fract_x
_atom_site_fract_y
_atom_site_fract_z
Na1 0.0000 0.5000 0.0000
Ca1 0.0000 0.0000 0.5000
Ag1 0.5000 0.5000 0.5000
# Calculated formation energy, meV/atom: -20
# E_tot, eV/f.u.: -7.6



# NaCaAg (GGA-PBE, relaxed)
data_NaCaAg
_symmetry_space_group_name_H-M 'P 3 m 1'
_symmetry_Int_Tables_number 156
_cell_length_a 5.0592
_cell_length_b 5.0592
_cell_length_c 3.8207
_cell_angle_alpha 90.00
_cell_angle_beta 90.00
_cell_angle_gamma 120.00
loop_
_symmetry_equiv_pos_as_xyz
'x,y,z'
'-y,x-y,z'
'-x+y,-x,z'
'-y,-x,z'
'-x+y,y,z'
'x,x-y,z'
loop_
_atom_site_label
_atom_site_fract_x
_atom_site_fract_y
_atom_site_fract_z
Na1 0.0000 0.0000 0.0000
Ca1 0.6667 0.3333 0.4924
Ag1 0.3333 0.6667 0.9794
# Calculated formation energy, meV/atom: -25
# E_tot, eV/f.u.: -6.2



# NaCa3Ag (GGA-PBE, relaxed)
data_NaCa3Ag
_symmetry_space_group_name_H-M 'P -1'
_symmetry_Int_Tables_number 2
_cell_length_a 6.2424
_cell_length_b 6.2538
_cell_length_c 10.1995
_cell_angle_alpha 87.07
_cell_angle_beta 86.72
_cell_angle_gamma 63.83
loop_
_symmetry_equiv_pos_as_xyz
'x,y,z'
'-x,-y,-z'
loop_
_atom_site_label
_atom_site_fract_x
_atom_site_fract_y
_atom_site_fract_z
Na1 0.2062 0.2084 0.4333
Ca1 0.0973 0.0932 0.7674
Ca2 0.2392 0.2411 0.0886
Ca3 0.4462 0.4425 0.7243
Ag1 0.2773 0.7228 0.9999
# Calculated formation energy, meV/atom: -86
# E_tot, eV/f.u.: -10.6



# NaCa3Ag (GGA-PBE, relaxed)
data_NaCa3Ag
_symmetry_space_group_name_H-M 'P m -3 m'
_symmetry_Int_Tables_number 221
_symmetry_space_group_name_Hall '-P 4 2 3'
_cell_length_a 5.8597
_cell_length_b 5.8597
_cell_length_c 5.8597
_cell_angle_alpha 90.00
_cell_angle_beta 90.00
_cell_angle_gamma 90.00
loop_
_atom_site_label
_atom_site_fract_x
_atom_site_fract_y
_atom_site_fract_z
Na1 0.0000 0.0000 0.0000
Ca1 0.0000 0.5000 0.5000
Ag1 0.5000 0.5000 0.5000
# Calculated formation energy, meV/atom: -42
# E_tot, eV/f.u.: -10.4



# NaCa5Ag4 (GGA-PBE, relaxed)
data_NaCa5Ag4
_symmetry_space_group_name_H-M 'P 4/m m m'
_symmetry_Int_Tables_number 123
_symmetry_space_group_name_Hall '-P 4 2'
_cell_length_a 3.7566
_cell_length_b 3.7566
_cell_length_c 19.9508
_cell_angle_alpha 90.00
_cell_angle_beta 90.00
_cell_angle_gamma 90.00
loop_
_atom_site_label
_atom_site_fract_x
_atom_site_fract_y
_atom_site_fract_z
Na1 0.0000 0.0000 0.0000
Ca1 0.5000 0.5000 0.1359
Ca2 0.5000 0.5000 0.3164
Ca3 0.5000 0.5000 0.5000
Ag1 0.0000 0.0000 0.2234
Ag2 0.0000 0.0000 0.4077
# Calculated formation energy, meV/atom: -245
# E_tot, eV/f.u.: -25.2



# NaCa3Ag (GGA-PBE, relaxed)
data_NaCa3Ag
_symmetry_space_group_name_H-M 'P m -3 m'
_symmetry_Int_Tables_number 221
_symmetry_space_group_name_Hall '-P 4 2 3'
_cell_length_a 5.9297
_cell_length_b 5.9297
_cell_length_c 5.9297
_cell_angle_alpha 90.00
_cell_angle_beta 90.00
_cell_angle_gamma 90.00
loop_
_atom_site_label
_atom_site_fract_x
_atom_site_fract_y
_atom_site_fract_z
Na1 0.0000 0.0000 0.0000
Ca1 0.0000 0.0000 0.5000
Ag1 0.5000 0.5000 0.5000
# Calculated formation energy, meV/atom: 559
# E_tot, eV/f.u.: -7.4